Entry from Alexandria via LeMat-Bulk: a relaxed Pm2ZrAu crystal (PBE).

## Properties
Symmetry ... P4/mmm (123)

a b c (Å): 3.5484 3.5484 8.5218
angles (deg): 90.00 90.00 90.00
Closest atoms and distances in Å follow each position.
Sites, in units of the cell vectors:
Au: 0.5000 0.5000 0.0000  8 Pm 3.18, 4 Au 3.55
Zr: 0.5000 0.5000 0.5000  8 Pm 3.41, 4 Zr 3.55
Pm: 0.0000 0.0000 0.7706  4 Au 3.18, 4 Zr 3.41, 4 Pm 3.55
Pm: 0.0000 0.0000 0.2294  4 Au 3.18, 4 Zr 3.41, 4 Pm 3.55


Entry from Alexandria via LeMat-Bulk: a relaxed MnNb2GaRe crystal (PBE).

## Properties
Symmetry ... P4/mmm (123)

a b c (Å): 4.8341 4.7257 4.8341
angles (deg): 90.00 90.00 90.00
Closest atoms and distances in Å follow each position.
Sites, in units of the cell vectors:
Re: 0.0000 0.0000 0.0000  2 Ga 2.36, 4 Nb 2.42
Nb: 0.0000 0.0000 0.5000  2 Re 2.42
Nb: 0.5000 0.0000 0.0000  2 Re 2.42
Mn: 0.5000 0.5000 0.5000  8 Nb 3.38, 4 Ga 3.42
Ga: 0.0000 0.5000 0.0000  2 Re 2.36


Entry from Alexandria via LeMat-Bulk: a relaxed CdSiN2 crystal (PBE).

## Properties
Symmetry ... I-42d (122)

a b c (Å): 4.8380 4.8380 5.3685
angles (deg): 116.78 116.78 90.00
Closest atoms and distances in Å follow each position.
Sites, in units of the cell vectors:
Si: 0.5000 0.5000 0.0000  4 N 1.76
Si: 0.7500 0.2500 0.5000  4 N 1.76
N: 0.7809 0.8750 0.2500  2 Si 1.76
N: 0.6250 0.2191 0.7500  2 Si 1.76
N: 0.4691 0.3750 0.2500  2 Si 1.76
N: 0.1250 0.5309 0.7500  2 Si 1.76
Cd: 0.2500 0.7500 0.5000  4 N 2.30
Cd: 0.0000 0.0000 0.0000  4 N 2.30


Entry from Alexandria via LeMat-Bulk: a relaxed KSc2TeF crystal (PBE).

## Properties
Symmetry ... P4/mmm (123)

a b c (Å): 4.5631 6.1463 4.5631
angles (deg): 90.00 90.00 90.00
Closest atoms and distances in Å follow each position.
Sites, in units of the cell vectors:
Sc: 0.0000 0.0000 0.5000  2 F 2.28
Sc: 0.5000 0.0000 0.0000  2 F 2.28
K: 0.5000 0.5000 0.5000  4 Te 3.23
Te: 0.0000 0.5000 0.0000  2 F 3.07, 4 K 3.23
F: 0.0000 0.0000 0.0000  4 Sc 2.28


| no. | E (eV/cell) |
| --- | --- |
| 1 | -22.51 |
| 2 | -37.04 |
| 3 | -50.35 |
| 4 | -23.34 |